Compound: HfScSb
Source: Alexandria
Functional: PBE-GGA
Structure: optimized geometry

a b c (Å): 4.2072 4.2072 7.7952
angles (deg): 90.00 90.00 90.00
Closest atoms and distances in Å follow each position.
Sites, in units of the cell vectors:
Hf  0.2500  0.7500  0.0000  4 Hf 2.97, 4 Sb 3.03
Hf  0.7500  0.2500  0.0000  4 Hf 2.97, 4 Sb 3.03
Sc  0.2500  0.2500  0.3413  5 Sb 2.95-3.01
Sc  0.7500  0.7500  0.6587  5 Sb 2.95-3.01
Sb  0.2500  0.2500  0.7196  5 Sc 2.95-3.01, 4 Hf 3.03
Sb  0.7500  0.7500  0.2804  5 Sc 2.95-3.01, 4 Hf 3.03

Properties
Spin magnetization: 0.0 μB per formula unit
Uncorrected formation energy: -0.661 eV per atom
N(E_F): 2.52 states/eV/f.u.

Compound: HfSc3Sb4
Source: Alexandria
Functional: PBE-GGA
Structure: optimized geometry

a b c (Å): 8.2929 11.7062 4.1462
angles (deg): 90.00 90.00 90.00
Closest atoms and distances in Å follow each position.
Sites, in units of the cell vectors:
Hf  0.0000  0.0000  0.0000  6 Sb 2.92
Hf  0.5000  0.5000  0.0000  6 Sb 2.92
Sc  0.0000  0.5000  0.0000  6 Sb 2.94
Sc  0.2500  0.2500  0.5000  6 Sb 2.93
Sc  0.2500  0.7500  0.5000  6 Sb 2.93
Sc  0.5000  0.0000  0.0000  6 Sb 2.94
Sc  0.7500  0.2500  0.5000  6 Sb 2.93
Sc  0.7500  0.7500  0.5000  6 Sb 2.93
Sb  0.0000  0.2492  0.0000  1 Hf 2.92, 5 Sc 2.93-2.94
Sb  0.0000  0.7508  0.0000  1 Hf 2.92, 5 Sc 2.93-2.94
Sb  0.2488  0.0000  0.5000  2 Hf 2.92, 4 Sc 2.93-2.94
Sb  0.2512  0.5000  0.5000  2 Hf 2.92, 4 Sc 2.93-2.94
Sb  0.5000  0.2507  0.0000  1 Hf 2.92, 5 Sc 2.93-2.94
Sb  0.5000  0.7492  0.0000  1 Hf 2.92, 5 Sc 2.93-2.94
Sb  0.7488  0.5000  0.5000  2 Hf 2.92, 4 Sc 2.93-2.94
Sb  0.7512  0.0000  0.5000  2 Hf 2.92, 4 Sc 2.93-2.94

Properties
Spin magnetization: 0.0 μB per formula unit
Uncorrected formation energy: -0.816 eV per atom
N(E_F): 1.52 states/eV/f.u.

Compound: HfSc2Sb2
Source: Alexandria
Functional: PBE-GGA
Structure: optimized geometry

a b c (Å): 7.6647 7.6647 3.9140
angles (deg): 90.00 90.00 90.00
Closest atoms and distances in Å follow each position.
Sites, in units of the cell vectors:
Hf  0.0000  0.0000  0.0000  4 Sb 2.93
Hf  0.5000  0.5000  0.0000  4 Sb 2.93
Sc  0.1569  0.3431  0.5000  6 Sb 2.89-3.04
Sc  0.3431  0.8431  0.5000  6 Sb 2.89-3.04
Sc  0.6569  0.1569  0.5000  6 Sb 2.89-3.04
Sc  0.8431  0.6569  0.5000  6 Sb 2.89-3.04
Sb  0.1464  0.6464  0.0000  6 Sc 2.89-3.04, 2 Hf 2.93, 1 Sb 3.17
Sb  0.3536  0.1464  0.0000  6 Sc 2.89-3.04, 2 Hf 2.93, 1 Sb 3.17
Sb  0.6464  0.8536  0.0000  6 Sc 2.89-3.04, 2 Hf 2.93, 1 Sb 3.17
Sb  0.8536  0.3536  0.0000  6 Sc 2.89-3.04, 2 Hf 2.93, 1 Sb 3.17

Properties
Spin magnetization: 0.0 μB per formula unit
Uncorrected formation energy: -0.680 eV per atom
N(E_F): 5.65 states/eV/f.u.

Compound: Hf2Sc4Sb
Source: Alexandria
Functional: PBE-GGA
Structure: optimized geometry

a b c (Å): 5.3575 5.3575 14.2744
angles (deg): 90.00 90.00 90.00
Closest atoms and distances in Å follow each position.
Sites, in units of the cell vectors:
Hf  0.0000  0.0000  0.0977  1 Hf 2.79, 5 Sc 2.94-3.02
Hf  0.0000  0.0000  0.9023  1 Hf 2.79, 5 Sc 2.94-3.02
Hf  0.5000  0.5000  0.4023  1 Hf 2.79, 5 Sc 2.94-3.02
Hf  0.5000  0.5000  0.5977  1 Hf 2.79, 5 Sc 2.94-3.02
Sc  0.0000  0.0000  0.3040  1 Sb 2.80, 1 Hf 2.94
Sc  0.0000  0.0000  0.6960  1 Sb 2.80, 1 Hf 2.94
Sc  0.0000  0.5000  0.0000  2 Sb 2.68
Sc  0.0000  0.5000  0.5000  2 Sb 2.68
Sc  0.5000  0.0000  0.0000  2 Sb 2.68
Sc  0.5000  0.0000  0.5000  2 Sb 2.68
Sc  0.5000  0.5000  0.1960  1 Sb 2.80, 1 Hf 2.94
Sc  0.5000  0.5000  0.8040  1 Sb 2.80, 1 Hf 2.94
Sb  0.0000  0.0000  0.5000  6 Sc 2.68-2.80
Sb  0.5000  0.5000  0.0000  6 Sc 2.68-2.80

Properties
Spin magnetization: 0.0 μB per formula unit
Uncorrected formation energy: 0.640 eV per atom
N(E_F): 11.31 states/eV/f.u.

Compound: HfScSb3
Source: Alexandria
Functional: PBE-GGA
Structure: optimized geometry

a b c (Å): 5.4628 5.4628 5.4628
angles (deg): 90.00 90.00 90.00
Closest atoms and distances in Å follow each position.
Sites, in units of the cell vectors:
Hf  0.0000  0.0000  0.0000  6 Sb 2.73
Sc  0.5000  0.5000  0.5000  12 Sb 3.86
Sb  0.0000  0.0000  0.5000  2 Hf 2.73
Sb  0.0000  0.5000  0.0000  2 Hf 2.73
Sb  0.5000  0.0000  0.0000  2 Hf 2.73

Properties
Spin magnetization: 0.0 μB per formula unit
Uncorrected formation energy: 0.270 eV per atom
N(E_F): 6.58 states/eV/f.u.

Compound: HfScSb
Source: Alexandria
Functional: PBE-GGA
Structure: optimized geometry

a b c (Å): 4.8844 4.8844 3.3583
angles (deg): 90.00 90.00 120.00
Closest atoms and distances in Å follow each position.
Sites, in units of the cell vectors:
Hf  0.0000  0.0000  0.0000  3 Sb 2.93, 3 Sc 3.23
Sc  0.3333  0.6667  0.5336  3 Sb 3.00, 6 Hf 3.23-3.34
Sb  0.6667  0.3333  0.2329  3 Hf 2.93, 3 Sc 3.00

Properties
Spin magnetization: 0.0 μB per formula unit
Uncorrected formation energy: -0.154 eV per atom
N(E_F): 3.73 states/eV/f.u.

Compound: HfSc5Sb4
Source: Alexandria
Functional: PBE-GGA
Structure: optimized geometry

a b c (Å): 9.3930 9.3930 7.0514
angles (deg): 101.04 101.04 25.08
Closest atoms and distances in Å follow each position.
Sites, in units of the cell vectors:
Hf  0.0000  0.0000  0.0000  6 Sb 2.93-3.00
Sc  0.0000  0.0000  0.5000  6 Sb 2.92-2.97
Sc  0.3022  0.3022  0.3873  4 Sb 2.95-3.03
Sc  0.3108  0.3108  0.9114  3 Sb 2.84-2.93
Sc  0.6892  0.6892  0.0886  3 Sb 2.84-2.93
Sc  0.6978  0.6978  0.6127  4 Sb 2.95-3.03
Sb  0.1339  0.1339  0.3228  6 Sc 2.93-3.03, 1 Hf 3.00
Sb  0.4371  0.4371  0.2185  4 Sc 2.84-2.95, 2 Hf 2.93
Sb  0.5629  0.5629  0.7815  4 Sc 2.84-2.95, 2 Hf 2.93
Sb  0.8661  0.8661  0.6772  6 Sc 2.93-3.03, 1 Hf 3.00

Properties
Spin magnetization: 1.6 μB per formula unit
Uncorrected formation energy: -0.603 eV per atom
N(E_F): 9.57 states/eV/f.u.

Compound: Hf5ScSb4
Source: Alexandria
Functional: PBE-GGA
Structure: optimized geometry

a b c (Å): 8.5631 8.8789 6.9636
angles (deg): 90.00 90.00 90.00
Closest atoms and distances in Å follow each position.
Sites, in units of the cell vectors:
Hf  0.0661  0.0478  0.2359  4 Sb 2.87-3.11, 2 Hf 3.08-3.15
Hf  0.0661  0.4522  0.2359  4 Sb 2.87-3.11, 2 Hf 3.08-3.15
Hf  0.2500  0.7500  0.2249  4 Sb 2.82-2.83, 4 Hf 3.08
Hf  0.4339  0.0478  0.2359  4 Sb 2.87-3.11, 2 Hf 3.08-3.15
Hf  0.4339  0.4522  0.2359  4 Sb 2.87-3.11, 2 Hf 3.08-3.15
Hf  0.5661  0.5478  0.7641  4 Sb 2.87-3.11, 2 Hf 3.08-3.15
Hf  0.5661  0.9522  0.7641  4 Sb 2.87-3.11, 2 Hf 3.08-3.15
Hf  0.7500  0.2500  0.7751  4 Sb 2.82-2.83, 4 Hf 3.08
Hf  0.9339  0.5478  0.7641  4 Sb 2.87-3.11, 2 Hf 3.08-3.15
Hf  0.9339  0.9522  0.7641  4 Sb 2.87-3.11, 2 Hf 3.08-3.15
Sc  0.2500  0.2500  0.8822  4 Sb 2.75-2.94
Sc  0.7500  0.7500  0.1178  4 Sb 2.75-2.94
Sb  0.0288  0.2500  0.5598  5 Hf 2.82-3.11, 1 Sc 2.94
Sb  0.2500  0.5596  0.8999  1 Sc 2.75, 5 Hf 2.83-2.98
Sb  0.2500  0.9404  0.8999  1 Sc 2.75, 5 Hf 2.83-2.98
Sb  0.4712  0.2500  0.5598  5 Hf 2.82-3.11, 1 Sc 2.94
Sb  0.5288  0.7500  0.4402  5 Hf 2.82-3.11, 1 Sc 2.94
Sb  0.7500  0.0596  0.1001  1 Sc 2.75, 5 Hf 2.83-2.98
Sb  0.7500  0.4404  0.1001  1 Sc 2.75, 5 Hf 2.83-2.98
Sb  0.9712  0.7500  0.4402  5 Hf 2.82-3.11, 1 Sc 2.94

Properties
Spin magnetization: 0.0 μB per formula unit
Uncorrected formation energy: -0.115 eV per atom
N(E_F): 7.40 states/eV/f.u.

Compound: Hf2Sc3Sb3
Source: Alexandria
Functional: PBE-GGA
Structure: optimized geometry

a b c (Å): 8.4771 8.4771 5.8137
angles (deg): 90.00 90.00 120.00
Closest atoms and distances in Å follow each position.
Sites, in units of the cell vectors:
Hf  0.3333  0.6667  0.0000  2 Hf 2.91, 6 Sb 3.01
Hf  0.3333  0.6667  0.5000  2 Hf 2.91, 6 Sb 3.01
Hf  0.6667  0.3333  0.0000  2 Hf 2.91, 6 Sb 3.01
Hf  0.6667  0.3333  0.5000  2 Hf 2.91, 6 Sb 3.01
Sc  0.0000  0.2542  0.2500  5 Sb 2.88-3.11
Sc  0.0000  0.7458  0.7500  5 Sb 2.88-3.11
Sc  0.2542  0.0000  0.2500  5 Sb 2.88-3.11
Sc  0.2542  0.2542  0.7500  5 Sb 2.88-3.11
Sc  0.7458  0.0000  0.7500  5 Sb 2.88-3.11
Sc  0.7458  0.7458  0.2500  5 Sb 2.88-3.11
Sb  0.0000  0.3852  0.7500  5 Sc 2.88-3.11, 4 Hf 3.01
Sb  0.0000  0.6148  0.2500  5 Sc 2.88-3.11, 4 Hf 3.01
Sb  0.3852  0.0000  0.7500  5 Sc 2.88-3.11, 4 Hf 3.01
Sb  0.3852  0.3852  0.2500  5 Sc 2.88-3.11, 4 Hf 3.01
Sb  0.6148  0.0000  0.2500  5 Sc 2.88-3.11, 4 Hf 3.01
Sb  0.6148  0.6148  0.7500  5 Sc 2.88-3.11, 4 Hf 3.01

Properties
Spin magnetization: 0.0 μB per formula unit
Uncorrected formation energy: -0.731 eV per atom
N(E_F): 3.46 states/eV/f.u.

Compound: Sm2HfScSb4
Source: Alexandria
Functional: PBE-GGA
Structure: optimized geometry

a b c (Å): 7.4279 4.2936 7.4473
angles (deg): 90.00 109.36 90.00
Closest atoms and distances in Å follow each position.
Sites, in units of the cell vectors:
Sm  0.0000  0.0000  0.0000  6 Sb 3.12-3.13
Sm  0.5000  0.5000  0.0000  6 Sb 3.14
Hf  0.0000  0.5000  0.5000  6 Sb 2.94-2.95
Sc  0.5000  0.0000  0.5000  6 Sb 2.95-2.96
Sb  0.2414  0.0000  0.7275  2 Hf 2.95, 1 Sc 2.95, 3 Sm 3.12-3.14
Sb  0.2558  0.5000  0.2720  1 Hf 2.94, 2 Sc 2.96, 3 Sm 3.13-3.14
Sb  0.7442  0.5000  0.7280  1 Hf 2.94, 2 Sc 2.96, 3 Sm 3.13-3.14
Sb  0.7586  0.0000  0.2725  2 Hf 2.95, 1 Sc 2.95, 3 Sm 3.12-3.14

Properties
Spin magnetization: 0.0 μB per formula unit
Uncorrected formation energy: -0.927 eV per atom
N(E_F): 1.54 states/eV/f.u.